i | Here is a relaxed structure of Ti4SnC from the Alexandria database. Energies are from PBE-GGA.

Cell lengths 7.1415, 5.3343, 5.3209 Å; angles 90.00, 102.27, 90.00 degrees
Sites, in units of the cell vectors:
Ti1 0.0872 0.1372 0.3746
Ti2 0.0872 0.3628 0.8746
Ti3 0.2768 0.5711 0.4509
Ti4 0.2768 0.9289 0.9509
Ti5 0.7232 0.0711 0.0491
Ti6 0.7232 0.4289 0.5491
Ti7 0.9128 0.6372 0.1254
Ti8 0.9128 0.8628 0.6254
Sn1 0.5000 0.0000 0.5000
Sn2 0.5000 0.5000 0.0000
C1 0.0000 0.0000 0.0000
C2 0.0000 0.5000 0.5000

Computed properties:
The density is 5.402 Mg/m³. The magnetic moment is 0.00 μB/cell.


ii | Here is a relaxed structure of Ti4SnC from the Alexandria database. Energies are from PBE-GGA.

Cell lengths 4.7403, 3.0379, 7.2225 Å; angles 90.00, 107.57, 90.00 degrees
Sites, in units of the cell vectors:
Ti1 0.0846 0.0000 0.2277
Ti2 0.3048 0.5000 0.5882
Ti3 0.6952 0.5000 0.4118
Ti4 0.9154 0.0000 0.7723
Sn1 0.5000 0.5000 0.0000
C1 0.0000 0.0000 0.5000

Computed properties:
The density is 5.396 Mg/m³. The magnetic moment is 0.00 μB/cell.


Of them, ii has the highest stability.


i | Here is a relaxed structure of Ti6Sn2C from the Alexandria database. Energies are from PBE-GGA.

Cell lengths 5.9364, 5.9364, 5.9364 Å; angles 119.93, 119.93, 90.13 degrees
Sites, in units of the cell vectors:
Ti1 0.2438 0.2438 0.0000
Ti2 0.2443 0.2443 0.4887
Ti3 0.2443 0.7557 0.0000
Ti4 0.7557 0.2443 0.0000
Ti5 0.7562 0.7562 0.0000
Ti6 0.7557 0.7557 0.5113
Sn1 0.2500 0.7500 0.5000
Sn2 0.7500 0.2500 0.5000
C1 0.5000 0.5000 0.0000

Computed properties:
The density is 6.017 Mg/m³. The magnetic moment is 0.00 μB/cell.


ii | Here is a relaxed structure of Ti6Sn2C from the Alexandria database. Energies are from PBE-GGA.

Cell lengths 5.3039, 5.3039, 13.0336 Å; angles 90.00, 90.00, 90.00 degrees
Sites, in units of the cell vectors:
Ti1 0.1879 0.1879 0.1087
Ti2 0.1879 0.1879 0.8913
Ti3 0.1995 0.1995 0.5000
Ti4 0.3005 0.6995 0.0000
Ti5 0.3121 0.6879 0.3913
Ti6 0.3121 0.6879 0.6087
Ti7 0.6879 0.3121 0.3913
Ti8 0.6879 0.3121 0.6087
Ti9 0.6995 0.3005 0.0000
Ti10 0.8005 0.8005 0.5000
Ti11 0.8121 0.8121 0.1087
Ti12 0.8121 0.8121 0.8913
Sn1 0.0000 0.0000 0.2992
Sn2 0.0000 0.0000 0.7008
Sn3 0.5000 0.5000 0.2008
Sn4 0.5000 0.5000 0.7992
C1 0.0000 0.0000 0.0000
C2 0.5000 0.5000 0.5000

Computed properties:
The density is 4.861 Mg/m³. The magnetic moment is 0.00 μB/cell.


Of them, i has the highest stability.


i | Here is a relaxed structure of TlSn2C from the Alexandria database. Energies are from PBE-GGA.

Cell lengths 5.0545, 5.0545, 5.0545 Å; angles 60.00, 60.00, 60.00 degrees
Sites, in units of the cell vectors:
Tl1 0.0000 0.0000 0.0000
Sn1 0.2500 0.2500 0.2500
Sn2 0.7500 0.7500 0.7500
C1 0.5000 0.5000 0.5000

Computed properties:
The density is 8.253 Mg/m³. The magnetic moment is 0.00 μB/cell.


ii | Here is a relaxed structure of TlSn2C from the Alexandria database. Energies are from PBE-GGA.

Cell lengths 6.9898, 6.9898, 6.9898 Å; angles 128.04, 128.04, 76.56 degrees
Sites, in units of the cell vectors:
Tl1 0.0000 0.0000 0.0000
Tl2 0.7500 0.2500 0.5000
Sn1 0.2180 0.6250 0.0930
Sn2 0.3750 0.4680 0.5930
Sn3 0.5320 0.1250 0.9070
Sn4 0.8750 0.7820 0.4070
C1 0.2500 0.7500 0.5000
C2 0.5000 0.5000 0.0000

Computed properties:
The density is 7.325 Mg/m³. The magnetic moment is 0.00 μB/cell.


Of them, ii has the highest stability.


i | Here is a relaxed structure of Tl2SnC from the Alexandria database. Energies are from PBE-GGA.

Cell lengths 5.1218, 5.1218, 5.1218 Å; angles 60.00, 60.00, 60.00 degrees
Sites, in units of the cell vectors:
Tl1 0.2500 0.2500 0.2500
Tl2 0.7500 0.7500 0.7500
Sn1 0.0000 0.0000 0.0000
C1 0.5000 0.5000 0.5000

Computed properties:
The density is 9.429 Mg/m³. The magnetic moment is 0.00 μB/cell.


ii | Here is a relaxed structure of Tl2SnC from the Alexandria database. Energies are from PBE-GGA.

Cell lengths 6.9366, 6.9366, 6.9366 Å; angles 124.67, 124.67, 82.08 degrees
Sites, in units of the cell vectors:
Tl1 0.0244 0.6250 0.8994
Tl2 0.3750 0.2744 0.3994
Tl3 0.7256 0.1250 0.1006
Tl4 0.8750 0.9756 0.6006
Sn1 0.2500 0.7500 0.5000
Sn2 0.5000 0.5000 0.0000
C1 0.0000 0.0000 0.0000
C2 0.7500 0.2500 0.5000

Computed properties:
The density is 8.254 Mg/m³. The magnetic moment is 0.00 μB/cell.


Of them, ii has the highest stability.


i | Here is a relaxed structure of TlSnC3 from the Alexandria database. Energies are from PBE-GGA.

Cell lengths 4.4850, 4.4850, 4.4850 Å; angles 90.00, 90.00, 90.00 degrees
Sites, in units of the cell vectors:
Tl1 0.0000 0.0000 0.0000
Sn1 0.5000 0.5000 0.5000
C1 0.0000 0.0000 0.5000
C2 0.0000 0.5000 0.0000
C3 0.5000 0.0000 0.0000

Computed properties:
The density is 6.610 Mg/m³. The magnetic moment is 2.89 μB/cell.


ii | Here is a relaxed structure of TlSnC3 from the Alexandria database. Energies are from PBE-GGA.

Cell lengths 4.4029, 4.4029, 4.4029 Å; angles 90.00, 90.00, 90.00 degrees
Sites, in units of the cell vectors:
Tl1 0.0000 0.0000 0.0000
Sn1 0.5000 0.5000 0.5000
C1 0.0000 0.5000 0.5000
C2 0.5000 0.0000 0.5000
C3 0.5000 0.5000 0.0000

Computed properties:
The density is 6.987 Mg/m³. The magnetic moment is 1.34 μB/cell.


Of them, ii has the highest stability.


i | Here is a relaxed structure of Tm8SnC4 from the Alexandria database. Energies are from PBE-GGA.

Cell lengths 7.5174, 7.5174, 7.5174 Å; angles 60.00, 60.00, 60.00 degrees
Sites, in units of the cell vectors:
Tm1 0.3985 0.3985 0.3985
Tm2 0.3985 0.3985 0.8044
Tm3 0.3985 0.8044 0.3985
Tm4 0.4173 0.8609 0.8609
Tm5 0.8044 0.3985 0.3985
Tm6 0.8609 0.4173 0.8609
Tm7 0.8609 0.8609 0.4173
Tm8 0.8609 0.8609 0.8609
Sn1 0.2500 0.2500 0.2500
C1 0.1129 0.6290 0.6290
C2 0.6290 0.1129 0.6290
C3 0.6290 0.6290 0.1129
C4 0.6290 0.6290 0.6290

Computed properties:
The density is 8.393 Mg/m³. The magnetic moment is 0.00 μB/cell.


ii | Here is a relaxed structure of Tm8SnC4 from the Alexandria database. Energies are from PBE-GGA.

Cell lengths 8.7406, 8.7406, 11.7126 Å; angles 130.25, 130.25, 23.62 degrees
Sites, in units of the cell vectors:
Tm1 0.0416 0.0416 0.2353
Tm2 0.2976 0.2976 0.4340
Tm3 0.3370 0.3370 0.1615
Tm4 0.3674 0.3674 0.9100
Tm5 0.6326 0.6326 0.0900
Tm6 0.6630 0.6630 0.8385
Tm7 0.7024 0.7024 0.5660
Tm8 0.9584 0.9584 0.7647
Sn1 0.0000 0.0000 0.5000
C1 0.1482 0.1482 0.9618
C2 0.3332 0.3332 0.6712
C3 0.6668 0.6668 0.3288
C4 0.8518 0.8518 0.0382

Computed properties:
The density is 9.361 Mg/m³. The magnetic moment is 0.26 μB/cell.


Of them, ii has the highest stability.